# 1
Here is a relaxed structure of ZrCr3Tc from Alexandria via LeMat-Bulk. Energies are from PBEsol.

calculated formation energy: 2183 meV/atom
space group: Pm-3m
total DFT energy (no corrections): -40.17 eV/cell

POSCAR file:
```
ZrCr3Tc
1.0
-3.120 1.972 -2.535
-1.009 -3.958 -1.837
-3.049 -0.709 3.202
Cr Tc Zr
3 1 1
direct
0.000 0.500 0.000
0.000 0.000 0.500
0.500 0.000 0.000
0.500 0.500 0.500
0.000 0.000 0.000
```

=====

# 2
Here is a relaxed structure of Sr2YCd from Alexandria via LeMat-Bulk. Energies are from PBEsol.

calculated formation energy: -98 meV/atom
space group: P4mm
total DFT energy (no corrections): -12.09 eV/cell

POSCAR file:
```
Sr2YCd
1.0
3.845 0.000 0.000
0.000 3.845 0.000
0.000 0.000 9.916
Y Sr Cd
1 2 1
direct
0.000 0.000 0.562
0.000 0.000 0.938
0.500 0.500 0.279
0.500 0.500 0.721
```

=====

# 3
Here is a relaxed structure of CsCdF2 from Alexandria via LeMat-Bulk. Energies are from PBEsol.

space group: R-3m
E above lowest polymorph: 206 meV/atom
total DFT energy (no corrections): -12.48 eV/cell

POSCAR file:
```
CsCdF2
1.0
3.830 0.000 0.000
1.915 3.316 0.000
1.915 1.105 7.517
Cs F Cd
1 2 1
direct
0.000 0.000 0.000
0.879 0.879 0.362
0.121 0.121 0.638
0.500 0.500 0.500
```